# Nb3Mo4, relaxed, DFT PBE
# * DFT formation energy: -0.113 eV per atom
# * DOS at the Fermi energy: 0.55 states/eV/atom
data_Nb3Mo4
_symmetry_space_group_name_H-M 'R 3 m'
_symmetry_Int_Tables_number 160
_symmetry_space_group_name_Hall 'R 3 -2"'
_cell_length_a 4.5523
_cell_length_b 4.5523
_cell_length_c 19.6093
_cell_angle_alpha 90.00
_cell_angle_beta 90.00
_cell_angle_gamma 120.00
loop_
_atom_site_label
_atom_site_fract_x
_atom_site_fract_y
_atom_site_fract_z
Nb1 0.0000 0.0000 0.0000
Nb2 0.0000 0.0000 0.1478
Nb3 0.0000 0.0000 0.4286
Mo1 0.0000 0.0000 0.2861
Mo2 0.0000 0.0000 0.5747
Mo3 0.0000 0.0000 0.7161
Mo4 0.0000 0.0000 0.8584

# DyAlCu5, relaxed, DFT PBE
# * DFT formation energy: -0.270 eV per atom
# * DOS at the Fermi energy: 0.58 states/eV/atom
data_DyAlCu5
_symmetry_space_group_name_H-M 'P n m a'
_symmetry_Int_Tables_number 62
_cell_length_a 8.076
_cell_length_b 5.002
_cell_length_c 10.214
_cell_angle_alpha 90.00
_cell_angle_beta 90.00
_cell_angle_gamma 90.00
loop_
_symmetry_equiv_pos_as_xyz
'x,y,z'
'-x,-y,-z'
'-x+1/2,-y,z+1/2'
'x+1/2,y,-z+1/2'
'x+1/2,-y+1/2,-z+1/2'
'-x+1/2,y+1/2,z+1/2'
'-x,y+1/2,-z'
'x,-y+1/2,z'
loop_
_atom_site_label
_atom_site_fract_x
_atom_site_fract_y
_atom_site_fract_z
Dy1 0.244 0.250 0.058
Al1 0.146 0.750 0.855
Cu1 0.061 0.750 0.089
Cu2 0.066 0.006 0.306
Cu3 0.094 0.250 0.516
Cu4 0.182 0.250 0.753

# Ac2Y2Se5, relaxed, DFT PBE
# * DOS at the Fermi energy: 0.58 states/eV/atom
# * ΔE_f (raw): -1706 meV/atom
data_Ac2Y2Se5
_symmetry_space_group_name_H-M 'I m a 2'
_symmetry_Int_Tables_number 46
_cell_length_a 19.028
_cell_length_b 8.287
_cell_length_c 7.342
_cell_angle_alpha 90.00
_cell_angle_beta 90.00
_cell_angle_gamma 90.00
loop_
_symmetry_equiv_pos_as_xyz
'x,y,z'
'-x,-y,z'
'-x+1/2,y,z'
'x+1/2,-y,z'
'x+1/2,y+1/2,z+1/2'
'-x+1/2,-y+1/2,z+1/2'
'-x,y+1/2,z+1/2'
'x,-y+1/2,z+1/2'
loop_
_atom_site_label
_atom_site_fract_x
_atom_site_fract_y
_atom_site_fract_z
Ac1 0.098 0.057 0.000
Y1 0.000 0.000 0.530
Y2 0.250 0.606 0.976
Se1 0.025 0.723 0.751
Se2 0.144 0.094 0.592
Se3 0.250 0.574 0.598

# Mg4OsPb, relaxed, DFT PBE
# * DFT formation energy: 0.448 eV per atom
# * DOS at the Fermi energy: 0.59 states/eV/atom
data_Mg4OsPb
_symmetry_space_group_name_H-M 'F -4 3 m'
_symmetry_Int_Tables_number 216
_symmetry_space_group_name_Hall 'F -4 2 3'
_cell_length_a 7.778
_cell_length_b 7.778
_cell_length_c 7.778
_cell_angle_alpha 90.00
_cell_angle_beta 90.00
_cell_angle_gamma 90.00
loop_
_atom_site_label
_atom_site_fract_x
_atom_site_fract_y
_atom_site_fract_z
Mg1 0.124 0.124 0.124
Os1 0.250 0.250 0.750
Pb1 0.000 0.000 0.500